Record 1
# PBE La2FeCuRu, relaxed
data_La2FeCuRu
_cell_length_a 5.5068
_cell_length_b 5.5068
_cell_length_c 4.4557
_cell_angle_alpha 90.00
_cell_angle_beta 90.00
_cell_angle_gamma 90.00
_symmetry_space_group_name_H-M 'P 4/m m m'
_symmetry_Int_Tables_number 123
_symmetry_space_group_name_Hall '-P 4 2'
loop_
_atom_site_label
_atom_site_type_symbol
_atom_site_fract_x
_atom_site_fract_y
_atom_site_fract_z
_atom_site_occupancy
La1 La 0.0000 0.5000 0.0000 1
Fe1 Fe 0.0000 0.0000 0.5000 1
Cu1 Cu 0.5000 0.5000 0.5000 1
Ru1 Ru 0.0000 0.0000 0.0000 1
# Magnetic moment = 0.389 μB/atom
# Energy of formation = 0.34 eV/atom

Record 2
# PBE LaFeCuSb2, relaxed
data_LaFeCuSb2
_cell_length_a 4.9743
_cell_length_b 4.9743
_cell_length_c 5.2397
_cell_angle_alpha 90.00
_cell_angle_beta 90.00
_cell_angle_gamma 90.00
_symmetry_space_group_name_H-M 'P 4/m m m'
_symmetry_Int_Tables_number 123
_symmetry_space_group_name_Hall '-P 4 2'
loop_
_atom_site_label
_atom_site_type_symbol
_atom_site_fract_x
_atom_site_fract_y
_atom_site_fract_z
_atom_site_occupancy
La1 La 0.0000 0.0000 0.0000 1
Fe1 Fe 0.5000 0.5000 0.0000 1
Cu1 Cu 0.0000 0.0000 0.5000 1
Sb1 Sb 0.0000 0.5000 0.5000 1
# Magnetic moment = 0.010 μB/atom
# E = -4.477 eV per atom

Record 3
# PBE LaFeCuSn2, relaxed
data_LaFeCuSn2
_cell_length_a 5.9616
_cell_length_b 5.9616
_cell_length_c 5.0516
_cell_angle_alpha 90.00
_cell_angle_beta 90.00
_cell_angle_gamma 90.00
_symmetry_space_group_name_H-M 'P 4/m m m'
_symmetry_Int_Tables_number 123
_symmetry_space_group_name_Hall '-P 4 2'
loop_
_atom_site_label
_atom_site_type_symbol
_atom_site_fract_x
_atom_site_fract_y
_atom_site_fract_z
_atom_site_occupancy
La1 La 0.0000 0.0000 0.0000 1
Fe1 Fe 0.5000 0.5000 0.5000 1
Cu1 Cu 0.0000 0.0000 0.5000 1
Sn1 Sn 0.0000 0.5000 0.0000 1
# Magnetic moment = 0.023 μB/atom
# Energy of formation = 1.73 eV/atom

Record 4
# PBE LaTbFeCu, relaxed
data_LaTbFeCu
_cell_length_a 7.0275
_cell_length_b 7.0275
_cell_length_c 7.0275
_cell_angle_alpha 90.00
_cell_angle_beta 90.00
_cell_angle_gamma 90.00
_symmetry_space_group_name_H-M 'F -4 3 m'
_symmetry_Int_Tables_number 216
_symmetry_space_group_name_Hall 'F -4 2 3'
loop_
_atom_site_label
_atom_site_type_symbol
_atom_site_fract_x
_atom_site_fract_y
_atom_site_fract_z
_atom_site_occupancy
La1 La 0.0000 0.0000 0.0000 1
Tb1 Tb 0.0000 0.0000 0.5000 1
Fe1 Fe 0.2500 0.2500 0.2500 1
Cu1 Cu 0.2500 0.2500 0.7500 1
# Magnetic moment = 0.272 μB/atom
# Energy of formation = 0.05 eV/atom